No. 1
KLa3Fe | SCAN | PBEsol geometry

Magnetization (Bohr magnetons per cell): 0.0
Energy of formation (meV/atom): 303

Geometry as CIF:
```
data_KLa3Fe
_cell_length_a 5.470
_cell_length_b 5.470
_cell_length_c 5.470
_cell_angle_alpha 90.00
_cell_angle_beta 90.00
_cell_angle_gamma 90.00
_space_group_name_H-M_alt 'P 1'
_space_group_IT_number 1
loop_
_space_group_symop_operation_xyz
'x,y,z'
loop_
_atom_site_label
_atom_site_fract_x
_atom_site_fract_y
_atom_site_fract_z
K1 0.500 0.500 0.500
Fe1 0.000 0.000 0.000
La1 0.000 0.500 0.000
La2 0.000 0.000 0.500
La3 0.500 0.000 0.000
```

No. 2
K4LiFe | SCAN | PBEsol geometry

Magnetization (Bohr magnetons per cell): 3.3
Energy of formation (meV/atom): 816

Geometry as CIF:
```
data_K4LiFe
_cell_length_a 7.445
_cell_length_b 7.445
_cell_length_c 7.445
_cell_angle_alpha 60.00
_cell_angle_beta 60.00
_cell_angle_gamma 60.00
_space_group_name_H-M_alt 'P 1'
_space_group_IT_number 1
loop_
_space_group_symop_operation_xyz
'x,y,z'
loop_
_atom_site_label
_atom_site_fract_x
_atom_site_fract_y
_atom_site_fract_z
Fe1 0.000 0.000 0.000
K1 0.374 0.374 0.374
K2 0.374 0.374 0.877
K3 0.877 0.374 0.374
K4 0.374 0.877 0.374
Li1 0.750 0.750 0.750
```

No. 3
KLi2Fe | SCAN | PBEsol geometry

Distance to the lowest polymorph of the same formula (meV per atom): 0
Magnetization (Bohr magnetons per cell): 2.8
Energy of formation (meV/atom): 528

Geometry as CIF:
```
data_KLi2Fe
_cell_length_a 3.297
_cell_length_b 3.297
_cell_length_c 8.490
_cell_angle_alpha 90.00
_cell_angle_beta 90.00
_cell_angle_gamma 90.00
_space_group_name_H-M_alt 'P 1'
_space_group_IT_number 1
loop_
_space_group_symop_operation_xyz
'x,y,z'
loop_
_atom_site_label
_atom_site_fract_x
_atom_site_fract_y
_atom_site_fract_z
Fe1 0.000 0.000 0.414
K1 0.500 0.500 0.713
Li1 0.000 0.000 0.092
Li2 0.500 0.500 0.281
```